! Nb4CrN PBE relaxed; values from VASP
&SYSTEM
  ibrav = 0, nat = 12, ntyp = 3
/
ATOMIC_SPECIES
Cr 52.00 Cr.upf
Nb 92.91 Nb.upf
N 14.01 N.upf
ATOMIC_POSITIONS crystal
Cr 0.097 0.750 0.000
Nb 0.707 0.979 0.185
Nb 0.523 0.521 0.815
Nb 0.709 0.877 0.630
Nb 0.477 0.479 0.185
Nb 0.921 0.377 0.630
Nb 0.079 0.623 0.370
Nb 0.293 0.021 0.815
N 0.000 0.000 0.500
Nb 0.291 0.123 0.370
Cr 0.903 0.250 0.000
N 0.500 0.500 0.500
CELL_PARAMETERS angstrom
-3.397 -3.491 2.466
2.870 0.655 4.879
-2.844 6.021 -1.436
! uncorrected energy: -9.91 eV per atom
! E_form (uncorrected): -0.210 eV per atom